Density functional theory data (PBE-GGA) for an optimized crystal structure of YAl2GaAu4.

As for the density: 10.8 Mg/m³. For the energy of formation from the pure elements, the calculation gives -491 meV/atom. Its crystal system is trigonal. The magnetic moment comes out at 0.0 μB per cell.

It has space group R-3m (No. 166, hexagonal axes), with a = 4.3688 Å, b = 4.3688 Å, c = 27.8599 Å, α = 90.00°, β = 90.00° and γ = 120.00°. The inequivalent atoms are Y at (0.0000, 0.0000, 0.0000), Al at (0.0000, 0.0000, 0.2469), Ga at (0.0000, 0.0000, 0.5000), Au at (0.0000, 0.0000, 0.1245) and Au at (0.0000, 0.0000, 0.3944).

---

Density functional theory data (PBE-GGA) for an optimized crystal structure of Ba2NaAgBr6.

The value obtained for the energy relative to the elements, uncorrected is -1.684 eV/atom. As for the density: 4.4 Mg/m³. Its crystal system is monoclinic. The magnetic moment comes out at 0.0 μB per cell.

It has space group P2_1/c (No. 14), with a = 7.397 Å, b = 8.436 Å, c = 12.860 Å, α = 90.00°, β = 124.36° and γ = 90.00°. The inequivalent atoms are Ba at (0.208, 0.108, 0.249), Na at (0.500, 0.000, 0.000), Ag at (0.000, 0.000, 0.500), Br at (0.112, 0.178, 0.940), Br at (0.268, 0.682, 0.940) and Br at (0.373, 0.036, 0.744).

---

Density functional theory data (PBE-GGA) for an optimized crystal structure of Cs2TlHgPd.

As for the density: 5.3 Mg/m³. For the energy of formation from the pure elements, the calculation gives -75 meV/atom. Its crystal system is tetragonal. The magnetic moment comes out at 0.0 μB per cell.

It has space group P4/mmm (No. 123), with a = 6.744 Å, b = 6.744 Å, c = 5.342 Å, α = 90.00°, β = 90.00° and γ = 90.00°. The inequivalent atoms are Cs at (0.000, 0.500, 0.000), Tl at (0.000, 0.000, 0.500), Hg at (0.500, 0.500, 0.500) and Pd at (0.000, 0.000, 0.000).

---

Density functional theory data (PBE-GGA) for an optimized crystal structure of Sm2Dy3Er5.

As for the density: 7.9 Mg/m³. The calculation puts the polymorph energy (0 for the lowest one) at 5.054 kcal/mol of atoms. For the energy of formation from the pure elements, the calculation gives 418 meV/atom. Its crystal system is orthorhombic. The magnetic moment comes out at 0.0 μB per cell.

It has space group Ibam (No. 72), with a = 9.317 Å, b = 13.456 Å, c = 10.844 Å, α = 90.00°, β = 90.00° and γ = 90.00°. The inequivalent atoms are Sm at (0.104, 0.124, 0.000), Dy at (0.000, 0.000, 0.250), Dy at (0.247, 0.127, 0.500), Er at (0.000, 0.251, 0.250), Er at (0.000, 0.500, 0.250) and Er at (0.085, 0.377, 0.500).

---

Density functional theory data (PBE-GGA) for an optimized crystal structure of Pu3RuPb.

As for the density: 12.0 Mg/m³. The calculation puts the polymorph energy (0 for the lowest one) at 0.000 kcal/mol of atoms. For the energy of formation from the pure elements, the calculation gives 20 meV/atom. Its crystal system is cubic. The magnetic moment comes out at 15.9 μB per cell.

It has space group Pm-3m (No. 221), with a = 5.238 Å, b = 5.238 Å, c = 5.238 Å, α = 90.00°, β = 90.00° and γ = 90.00°. The inequivalent atoms are Pu at (0.000, 0.000, 0.500), Ru at (0.000, 0.000, 0.000) and Pb at (0.500, 0.500, 0.500).

---

Density functional theory data (PBE-GGA) for an optimized crystal structure of NaSiN2O.

The value obtained for the energy relative to the elements, uncorrected is 2.021 eV/atom. As for the density: 2.1 Mg/m³. Its crystal system is tetragonal. The magnetic moment comes out at 5.0 μB per cell.

It has space group P4/mmm (No. 123), with a = 4.261 Å, b = 4.261 Å, c = 4.112 Å, α = 90.00°, β = 90.00° and γ = 90.00°. The inequivalent atoms are Na at (0.000, 0.000, 0.000), Si at (0.500, 0.500, 0.500), N at (0.000, 0.500, 0.000) and O at (0.000, 0.000, 0.500).

---

Density functional theory data (PBE-GGA) for an optimized crystal structure of CuHgAu.

As for the density: 14.5 Mg/m³. The calculation puts the polymorph energy (0 for the lowest one) at 2.633 kcal/mol of atoms. For the energy of formation from the pure elements, the calculation gives 148 meV/atom. Its crystal system is trigonal. The magnetic moment comes out at 0.0 μB per cell.

It has space group P3m1 (No. 156), with a = 4.5317 Å, b = 4.5317 Å, c = 2.9741 Å, α = 90.00°, β = 90.00° and γ = 120.00°. The inequivalent atoms are Cu at (0.0000, 0.0000, 0.0000), Hg at (0.6667, 0.3333, 0.3103) and Au at (0.3333, 0.6667, 0.7490).

---

Density functional theory data (PBE-GGA) for an optimized crystal structure of Tb2ZrSc6.

As for the density: 4.8 Mg/m³. The calculation puts the polymorph energy (0 for the lowest one) at 0.438 kcal/mol of atoms. For the energy of formation from the pure elements, the calculation gives 77 meV/atom. Its crystal system is hexagonal. The magnetic moment comes out at 2.0 μB per cell.

It has space group P-6m2 (No. 187), with a = 3.3425 Å, b = 3.3425 Å, c = 24.2310 Å, α = 90.00°, β = 90.00° and γ = 120.00°. The inequivalent atoms are Tb at (0.0000, 0.0000, 0.1744), Zr at (0.6667, 0.3333, 0.5000), Sc at (0.0000, 0.0000, 0.3964), Sc at (0.6667, 0.3333, 0.0619) and Sc at (0.6667, 0.3333, 0.2896).

---

Density functional theory data (PBE-GGA) for an optimized crystal structure of Co2PdSe4.

The value obtained for the energy relative to the elements, uncorrected is -0.329 eV/atom. As for the density: 6.9 Mg/m³. Its crystal system is tetragonal. The magnetic moment comes out at 0.0 μB per cell.

It has space group I4_1/amd (No. 141, origin choice 2), with a = 7.163 Å, b = 7.163 Å, c = 10.112 Å, α = 90.00°, β = 90.00° and γ = 90.00°. The inequivalent atoms are Co at (0.000, 0.000, 0.000), Pd at (0.000, 0.250, 0.375) and Se at (0.000, 0.031, 0.765).

---

Density functional theory data (PBE-GGA) for an optimized crystal structure of BeFeCoRe2.

As for the density: 13.1 Mg/m³. For the energy of formation from the pure elements, the calculation gives 863 meV/atom. Its crystal system is tetragonal. The magnetic moment comes out at 0.0 μB per cell.

It has space group P4/mmm (No. 123), with a = 4.070 Å, b = 4.070 Å, c = 3.787 Å, α = 90.00°, β = 90.00° and γ = 90.00°. The inequivalent atoms are Be at (0.000, 0.000, 0.000), Fe at (0.000, 0.000, 0.500), Co at (0.500, 0.500, 0.500) and Re at (0.000, 0.500, 0.000).

---

Density functional theory data (PBE-GGA) for an optimized crystal structure of Mo2OsBr.

The value obtained for the energy relative to the elements, uncorrected is 0.728 eV/atom. As for the density: 12.1 Mg/m³. The calculation puts the polymorph energy (0 for the lowest one) at 5.852 kcal/mol of atoms. Its crystal system is orthorhombic. The magnetic moment comes out at 0.0 μB per cell.

It has space group Imm2 (No. 44), with a = 2.948 Å, b = 4.579 Å, c = 9.410 Å, α = 90.00°, β = 90.00° and γ = 90.00°. The inequivalent atoms are Mo at (0.000, 0.000, 0.000), Mo at (0.000, 0.500, 0.213), Os at (0.000, 0.500, 0.744) and Br at (0.000, 0.000, 0.488).

---

Density functional theory data (PBE-GGA) for an optimized crystal structure of Dy4Pb2Se.

The value obtained for the energy relative to the elements, uncorrected is -0.683 eV/atom. As for the density: 9.3 Mg/m³. Its crystal system is monoclinic. The magnetic moment comes out at 0.0 μB per cell.

It has space group P2_1/m (No. 11), with a = 6.767 Å, b = 6.731 Å, c = 9.600 Å, α = 90.00°, β = 110.30° and γ = 90.00°. The inequivalent atoms are Dy at (0.013, 0.005, 0.254), Dy at (0.423, 0.250, 0.572), Dy at (0.424, 0.250, 0.140), Pb at (0.179, 0.750, 0.042), Pb at (0.200, 0.750, 0.550) and Se at (0.339, 0.250, 0.836).

---

> The highest density belongs to which entry?

CuHgAu

---

> Look up the density of the first one.

10.8 Mg/m³

---

> The highest magnetic moment belongs to which entry?

Pu3RuPb

---

> What is the magnetic moment in the second record?

0.0 μB per cell